## TbNd2Tl2Cd2 (PBE-GGA)

Data for crystalline TbNd2Tl2Cd2 at its relaxed geometry.

```
data_TbNd2Tl2Cd2
_cell_length_a 5.0147
_cell_length_b 5.0147
_cell_length_c 27.8614
_cell_angle_alpha 90.00
_cell_angle_beta 90.00
_cell_angle_gamma 120.00
_symmetry_space_group_name_H-M 'R -3 m'
_symmetry_Int_Tables_number 166
_symmetry_space_group_name_Hall '-R 3 2"'
loop_
_atom_site_label
_atom_site_fract_x
_atom_site_fract_y
_atom_site_fract_z
Tb1 0.0000 0.0000 0.0000
Nd1 0.0000 0.0000 0.1263
Tl1 0.0000 0.0000 0.2601
Cd1 0.0000 0.0000 0.3888
```

=====

## TbNdTlCd (PBE-GGA)

Data for crystalline TbNdTlCd at its relaxed geometry.

```
data_TbNdTlCd
_cell_length_a 7.6737
_cell_length_b 7.6737
_cell_length_c 7.6737
_cell_angle_alpha 90.00
_cell_angle_beta 90.00
_cell_angle_gamma 90.00
_symmetry_space_group_name_H-M 'F -4 3 m'
_symmetry_Int_Tables_number 216
_symmetry_space_group_name_Hall 'F -4 2 3'
loop_
_atom_site_label
_atom_site_fract_x
_atom_site_fract_y
_atom_site_fract_z
Tb1 0.0000 0.0000 0.0000
Nd1 0.0000 0.0000 0.5000
Tl1 0.2500 0.2500 0.7500
Cd1 0.2500 0.2500 0.2500
```

=====

## TbNdTmCd (PBE-GGA)

Data for crystalline TbNdTmCd at its relaxed geometry.

```
data_TbNdTmCd
_cell_length_a 3.6200
_cell_length_b 3.6200
_cell_length_c 9.0222
_cell_angle_alpha 90.00
_cell_angle_beta 90.00
_cell_angle_gamma 90.00
_symmetry_space_group_name_H-M 'P 4 m m'
_symmetry_Int_Tables_number 99
loop_
_symmetry_equiv_pos_as_xyz
'x,y,z'
'-y,x,z'
'-x,-y,z'
'y,-x,z'
'-x,y,z'
'y,x,z'
'x,-y,z'
'-y,-x,z'
loop_
_atom_site_label
_atom_site_fract_x
_atom_site_fract_y
_atom_site_fract_z
Tb1 0.0000 0.0000 0.0000
Nd1 0.5000 0.5000 0.2817
Tm1 0.0000 0.0000 0.5585
Cd1 0.5000 0.5000 0.7733
```

=====

## TbNdTmCd (PBE-GGA)

Data for crystalline TbNdTmCd at its relaxed geometry.

```
data_TbNdTmCd
_cell_length_a 7.7612
_cell_length_b 7.7612
_cell_length_c 7.7612
_cell_angle_alpha 90.00
_cell_angle_beta 90.00
_cell_angle_gamma 90.00
_symmetry_space_group_name_H-M 'F -4 3 m'
_symmetry_Int_Tables_number 216
_symmetry_space_group_name_Hall 'F -4 2 3'
loop_
_atom_site_label
_atom_site_fract_x
_atom_site_fract_y
_atom_site_fract_z
Tb1 0.0000 0.0000 0.0000
Nd1 0.0000 0.0000 0.5000
Tm1 0.2500 0.2500 0.2500
Cd1 0.2500 0.2500 0.7500
```

=====

Formation energy from the elements
In order: -0.17; -0.35; -0.15; -0.04
Unit: eV per atom